# CeHoNp2S4

A relaxed CeHoNp2S4 crystal (GGA-PBE, Alexandria).

* E_tot: -8.317 eV per atom
* DOS(E_F): 15.30 states/eV/cell
* E_form (uncorrected): -39.3 kcal/mol of atoms
* calculated volume: 171.48 Å³ per cell

abc: 6.7695 3.9289 6.8383
angles: 90.00 109.46 90.00
With the nearest neighbours (Å) after each atom.
Sites, in units of the cell vectors:
Ce (0.0000, 0.0000, 0.0000)  6 S 2.81-2.82
Ho (0.0000, 0.5000, 0.5000)  6 S 2.77
Np (0.5000, 0.0000, 0.5000)  6 S 2.74
Np (0.5000, 0.5000, 0.0000)  6 S 2.78-2.79
S (0.2519, 0.0000, 0.7454)  3 Np 2.74-2.79, 2 Ho 2.77, 1 Ce 2.81
S (0.2570, 0.5000, 0.2580)  3 Np 2.74-2.78, 1 Ho 2.77, 2 Ce 2.82
S (0.7430, 0.5000, 0.7420)  3 Np 2.74-2.78, 1 Ho 2.77, 2 Ce 2.82
S (0.7481, 0.0000, 0.2546)  3 Np 2.74-2.79, 2 Ho 2.77, 1 Ce 2.81

# CeHoNp2Sb4

A relaxed CeHoNp2Sb4 crystal (GGA-PBE, Alexandria).

* E_tot: -7.224 eV per atom
* DOS(E_F): 28.56 states/eV/cell
* E_form (uncorrected): -14.1 kcal/mol of atoms
* calculated volume: 244.05 Å³ per cell

abc: 7.6304 4.3949 7.7052
angles: 90.00 109.18 90.00
With the nearest neighbours (Å) after each atom.
Sites, in units of the cell vectors:
Ce (0.0000, 0.0000, 0.0000)  6 Sb 3.14-3.15
Ho (0.0000, 0.5000, 0.5000)  6 Sb 3.11-3.12
Np (0.5000, 0.0000, 0.5000)  6 Sb 3.10-3.11
Np (0.5000, 0.5000, 0.0000)  6 Sb 3.13-3.14
Sb (0.2505, 0.0000, 0.7466)  3 Np 3.10-3.13, 2 Ho 3.12, 1 Ce 3.15
Sb (0.2517, 0.5000, 0.2542)  3 Np 3.11-3.14, 1 Ho 3.11, 2 Ce 3.14
Sb (0.7483, 0.5000, 0.7458)  3 Np 3.11-3.14, 1 Ho 3.11, 2 Ce 3.14
Sb (0.7495, 0.0000, 0.2534)  3 Np 3.10-3.13, 2 Ho 3.12, 1 Ce 3.15